## Dy5Ho3As8 (PBE)

Data for a relaxed structure of Dy5Ho3As8.

Properties
ΔH_f (0 K): -1534 meV per atom
spin magnetization: 0.0 μB/f.u.
final energy: -6.15 eV per atom

Unit cell a=8.222 b=8.222 c=8.222 alpha=60.00 beta=60.00 gamma=60.00
Atoms (fractional coordinates):
1 Dy 0.500 0.500 0.500
2 Dy 0.000 0.000 0.000
3 Dy 0.000 0.500 0.000
4 Dy 0.500 0.500 0.000
5 Dy 0.500 0.000 0.000
6 As 0.750 0.249 0.251
7 As 0.751 0.250 0.749
8 As 0.250 0.250 0.749
9 As 0.750 0.750 0.749
10 As 0.750 0.750 0.251
11 As 0.250 0.250 0.251
12 As 0.249 0.750 0.251
13 As 0.250 0.751 0.749
14 Ho 0.000 0.000 0.500
15 Ho 0.500 0.000 0.500
16 Ho 0.000 0.500 0.500